A relaxed structure of NaAlCrF6, computed with GGA+U.

Cell: 5.3157 5.3157 9.6106 Å, 90.00 90.00 120.00°
Space group P-31c (No. 163)
Symmetry-distinct sites (fractional):
Na 0.0000 0.0000 0.0000 [2 per cell]
Al 0.3333 0.6667 0.2500 [2 per cell]
Cr 0.3333 0.6667 0.7500 [2 per cell]
F 0.0421 0.3851 0.1431 [12 per cell]

Properties
DOS at the Fermi energy (states/eV per atom): 0.727
Energy (eV/atom): -5.627